Record 1
The following is a PBE calculation of a relaxed structure of Nb2CrGeH, from Alexandria via LeMat-Bulk.

Properties
Uncorrected energy ... -7.683 eV/atom
Crystal system ... tetragonal

Unit cell a=4.1364 b=4.1364 c=3.8211 alpha=90.00 beta=90.00 gamma=90.00
Element x y z (fractional)
Cr (0.0000, 0.0000, 0.5000)
Nb (0.0000, 0.5000, 0.0000)
Nb (0.5000, 0.0000, 0.0000)
Ge (0.5000, 0.5000, 0.5000)
H (0.0000, 0.0000, 0.0000)

=====

Record 2
The following is a PBE calculation of a relaxed structure of Sr6BiN2, from Alexandria via LeMat-Bulk.

Properties
Raw formation energy ... -487 meV per atom
Crystal system ... monoclinic

Unit cell a=6.8225 b=10.3791 c=10.3791 alpha=91.75 beta=83.68 gamma=83.68
Element x y z (fractional)
Sr (0.3623, 0.7304, 0.6030)
Sr (0.1377, 0.3970, 0.2696)
Sr (0.6377, 0.2696, 0.3970)
Sr (0.8623, 0.6030, 0.7304)
Sr (0.8396, 0.8365, 0.4264)
Sr (0.6604, 0.5736, 0.1635)
Sr (0.1604, 0.1635, 0.5736)
Sr (0.3396, 0.4264, 0.8365)
Sr (0.2129, 0.7784, 0.9628)
Sr (0.2871, 0.0372, 0.2216)
Sr (0.7871, 0.2216, 0.0372)
Sr (0.7129, 0.9628, 0.7784)
Bi (0.2500, 0.1112, 0.8888)
Bi (0.7500, 0.8888, 0.1112)
N (0.1923, 0.6326, 0.7869)
N (0.3077, 0.2131, 0.3674)
N (0.8077, 0.3674, 0.2131)
N (0.6923, 0.7869, 0.6326)

=====

Record 3
The following is a PBE calculation of a relaxed structure of YSc2Ni, from Alexandria via LeMat-Bulk.

Properties
ΔH_f (0 K) ... 165 meV per atom
Crystal system ... monoclinic
Energy above the lowest structure with this stoichiometry ... 420 meV/atom

Unit cell a=6.0001 b=6.0001 c=3.2425 alpha=76.26 beta=76.26 gamma=120.82
Element x y z (fractional)
Ni (0.0000, 0.5000, 0.5000)
Sc (0.0000, 0.0000, 0.0000)
Sc (0.5000, 0.5000, 0.0000)
Y (0.5000, 0.0000, 0.5000)

=====

Record 4
The following is a PBE calculation of a relaxed structure of TlHgRh2, from Alexandria via LeMat-Bulk.

Properties
ΔH_f (0 K) ... 361 meV per atom
Crystal system ... trigonal

Unit cell a=9.5100 b=9.5100 c=9.5100 alpha=18.65 beta=18.65 gamma=18.65
Element x y z (fractional)
Tl (0.4911, 0.4911, 0.4911)
Hg (0.2598, 0.2598, 0.2598)
Rh (0.0069, 0.0069, 0.0069)
Rh (0.7422, 0.7422, 0.7422)